Material: YRhBr2
Method: DFT, PBE
State: optimized geometry

a = 4.6049 Å, b = 5.5371 Å, c = 4.6013 Å
α = 66.21°, β = 88.33°, γ = 113.81°
With the nearest neighbours (Å) after each atom.
Element x y z (fractional)
Rh 0.0000 0.5000 0.5000  4 Br 2.80
Br 0.0000 0.0000 0.0000  2 Y 2.80, 2 Rh 2.80
Br 0.5000 0.0000 0.5000  2 Rh 2.80, 2 Y 2.80
Y 0.5000 0.5000 0.0000  4 Br 2.80

relative energy among the computed polymorphs	478	meV/atom
formation energy without anion corrections	-2.2	eV per formula unit
N(E_F)	1.7	states/eV per cell
total moment	0.0	μB/f.u.